Record 1
This record from Alexandria via LeMat-Bulk describes a relaxed Co3W2 crystal. The functional is PBE.

Output
The size of the total moment comes out at 3.6 μB/cell. As for the formation energy from the elements: 1.45 eV per formula unit. The density of states at the Fermi level comes out at 6.426 states/eV/f.u. The calculation puts the offset from the most stable computed form at 213 meV per atom.

```
data_Co3W2
_space_group_name_H-M_alt 'R -3 m'
_space_group_IT_number 166
_space_group_name_Hall '-R 3 2"'
_cell_length_a 2.6813
_cell_length_b 2.6813
_cell_length_c 31.8535
_cell_angle_alpha 90.00
_cell_angle_beta 90.00
_cell_angle_gamma 120.00
loop_
_atom_site_label
_atom_site_fract_x
_atom_site_fract_y
_atom_site_fract_z
Co1 0.0000 0.0000 0.0000
Co2 0.0000 0.0000 0.1970
W1 0.0000 0.0000 0.4017
```

=====

Record 2
This record from Alexandria via LeMat-Bulk describes a relaxed CoW5 crystal. The functional is PBE.

Output
The size of the total moment comes out at 0.0 μB/cell. As for the formation energy from the elements: 2.28 eV per formula unit. The density of states at the Fermi level comes out at 6.059 states/eV/f.u. The calculation puts the offset from the most stable computed form at 228 meV per atom.

```
data_CoW5
_space_group_name_H-M_alt 'A m m 2'
_space_group_IT_number 38
_cell_length_a 4.6347
_cell_length_b 2.6479
_cell_length_c 15.2179
_cell_angle_alpha 90.00
_cell_angle_beta 90.00
_cell_angle_gamma 90.00
loop_
_space_group_symop_operation_xyz
'x,y,z'
'-x,-y,z'
'-x,y,z'
'x,-y,z'
'x,y+1/2,z+1/2'
'-x,-y+1/2,z+1/2'
'-x,y+1/2,z+1/2'
'x,-y+1/2,z+1/2'
loop_
_atom_site_label
_atom_site_fract_x
_atom_site_fract_y
_atom_site_fract_z
Co1 0.0000 0.0000 0.0000
W1 0.0000 0.0000 0.3470
W2 0.0000 0.0000 0.6666
W3 0.5000 0.0000 0.1060
W4 0.5000 0.0000 0.4471
W5 0.5000 0.0000 0.7755
```

=====

Record 3
This record from Alexandria via LeMat-Bulk describes a relaxed YCo2W crystal. The functional is PBE.

Output
The size of the total moment comes out at 0.0 μB/cell. As for the formation energy from the elements: 0.91 eV per formula unit. The density of states at the Fermi level comes out at 5.317 states/eV/f.u. The calculation puts the offset from the most stable computed form at 206 meV per atom.

```
data_YCo2W
_space_group_name_H-M_alt 'C 1 m 1'
_space_group_IT_number 8
_cell_length_a 7.0411
_cell_length_b 4.0221
_cell_length_c 5.6837
_cell_angle_alpha 90.00
_cell_angle_beta 111.15
_cell_angle_gamma 90.00
loop_
_space_group_symop_operation_xyz
'x,y,z'
'x,-y,z'
'x+1/2,y+1/2,z'
'x+1/2,-y+1/2,z'
loop_
_atom_site_label
_atom_site_fract_x
_atom_site_fract_y
_atom_site_fract_z
Y1 0.0000 0.0000 0.0000
Co1 0.1673 0.0000 0.5753
Co2 0.4371 0.0000 0.3552
W1 0.2918 0.5000 0.4348
```

=====

Record 4
This record from Alexandria via LeMat-Bulk describes a relaxed Y2CoW crystal. The functional is PBE.

Output
The size of the total moment comes out at 0.6 μB/cell. As for the formation energy from the elements: 1.60 eV per formula unit. The density of states at the Fermi level comes out at 5.321 states/eV/f.u. The calculation puts the offset from the most stable computed form at 257 meV per atom.

```
data_Y2CoW
_space_group_name_H-M_alt 'P 1 2/m 1'
_space_group_IT_number 10
_cell_length_a 3.2512
_cell_length_b 3.2692
_cell_length_c 7.6702
_cell_angle_alpha 90.00
_cell_angle_beta 90.06
_cell_angle_gamma 90.00
loop_
_space_group_symop_operation_xyz
'x,y,z'
'-x,-y,-z'
'-x,y,-z'
'x,-y,z'
loop_
_atom_site_label
_atom_site_fract_x
_atom_site_fract_y
_atom_site_fract_z
Y1 0.0002 0.0000 0.2241
Co1 0.5000 0.5000 0.0000
W1 0.5000 0.5000 0.5000
```